The following is a DFT calculation (GGA-PBE) of a relaxed ErTcPb crystal.

abc: 4.7450 4.7450 4.7450
angles: 60.00 60.00 60.00
Last column: nearest neighbours and their distance in Å.
Positions (direct):
Er  0.2500  0.2500  0.2500  4 Pb 2.91
Tc  0.7500  0.7500  0.7500  4 Pb 2.91
Pb  0.0000  0.0000  0.0000  4 Er 2.91, 4 Tc 2.91

Output
E, eV/atom: -5.6769